(1)
N | PBEsol | relaxed

Results
Mass density in Mg/m³: 3.5
SG: I2_13
Energy relative to the lowest polymorph listed for this composition in meV/atom: 1154
Uncorrected energy in eV/atom: -7.373
Total magnetic moment in Bohr magnetons per cell: 0.00
ΔE_f (raw) in meV/atom: 1154

```
N
1.0
-0.707 -1.907 2.556
-1.955 -0.764 -2.502
3.114 -0.459 -0.872
N
4
Direct
0.000 0.500 0.171
0.829 0.829 0.329
0.500 0.671 0.500
0.671 0.000 0.000
```



(2)
Si2HgSe | PBEsol | relaxed

Results
Mass density in Mg/m³: 6.8
SG: Pm
Uncorrected energy in eV/atom: -3.784
Total magnetic moment in Bohr magnetons per cell: 0.00
ΔE_f (raw) in meV/atom: 194

```
Si2HgSe
1.0
3.564 0.159 0.000
-1.053 4.449 0.000
0.000 0.000 5.139
Hg Si Se
1 2 1
Direct
0.505 0.561 0.000
0.855 0.086 0.500
0.878 0.129 0.000
0.262 0.725 0.500
```



(3)
MgZn3 | PBEsol | relaxed

Results
DFT formation energy in meV/atom: -35
Mass density in Mg/m³: 5.9
SG: Pm-3m
Uncorrected energy in eV/atom: -1.651
Total magnetic moment in Bohr magnetons per cell: 0.00

```
MgZn3
1.0
-3.955 -0.105 0.032
0.103 -3.949 -0.209
0.038 -0.208 3.951
Zn Mg
3 1
Direct
0.000 0.500 0.000
0.000 0.000 0.500
0.500 0.000 0.000
0.500 0.500 0.500
```



(4)
KLa2Mn | PBEsol | relaxed

Results
DFT formation energy in meV/atom: 423
Mass density in Mg/m³: 4.3
SG: C2/m
Uncorrected energy in eV/atom: -4.974
Total magnetic moment in Bohr magnetons per cell: 1.15

```
KLa2Mn
1.0
3.996 0.000 0.000
-1.998 3.466 -0.091
0.000 -1.995 10.527
La Mn K
2 1 1
Direct
0.215 0.431 0.147
0.785 0.569 0.853
0.500 0.000 0.000
0.000 0.000 0.500
```



(5)
Na2TiCrP3O12 | PBEsol | relaxed

Results
Mass density in Mg/m³: 3.1
SG: C2
Energy relative to the lowest polymorph listed for this composition in meV/atom: 0
Uncorrected energy in eV/atom: -7.719
Total magnetic moment in Bohr magnetons per cell: 6.00
ΔE_f (raw) in meV/atom: -2365

```
Na2TiCrP3O12
1.0
-7.317 4.466 0.826
-4.067 0.197 7.588
-0.056 7.404 4.702
O Na P Cr Ti
24 4 6 2 2
Direct
0.781 0.066 0.979
0.934 0.219 0.021
0.273 0.424 0.493
0.134 0.017 0.822
0.530 0.790 0.805
0.058 0.782 0.484
0.712 0.366 0.665
0.983 0.866 0.178
0.565 0.918 0.987
0.916 0.562 0.496
0.634 0.288 0.335
0.576 0.727 0.507
0.792 0.511 0.319
0.724 0.577 0.011
0.489 0.208 0.681
0.218 0.942 0.516
0.367 0.715 0.159
0.438 0.084 0.504
0.082 0.435 0.013
0.423 0.276 0.989
0.863 0.993 0.671
0.210 0.470 0.195
0.007 0.137 0.329
0.285 0.633 0.841
0.750 0.887 0.492
0.019 0.508 0.751
0.113 0.250 0.508
0.492 0.981 0.249
0.540 0.749 0.992
0.964 0.036 0.000
0.040 0.960 0.500
0.457 0.255 0.503
0.745 0.543 0.497
0.251 0.460 0.008
0.147 0.644 0.312
0.356 0.853 0.688
0.639 0.142 0.824
0.858 0.361 0.176
```



(6)
PRuS2O | PBEsol | relaxed

Results
Mass density in Mg/m³: 5.3
SG: P4/mmm
Uncorrected energy in eV/atom: -5.237
Total magnetic moment in Bohr magnetons per cell: 0.00
ΔE_f (raw) in meV/atom: 759

```
PRuS2O
1.0
-3.706 0.679 0.797
0.341 -2.214 3.477
1.071 3.417 2.070
O P S Ru
1 1 2 1
Direct
0.000 0.000 0.000
0.500 0.000 0.000
0.000 0.000 0.500
0.000 0.500 0.000
0.500 0.500 0.500
```



(7)
Li2CuAu | PBEsol | relaxed

Results
DFT formation energy in meV/atom: -177
Mass density in Mg/m³: 8.0
SG: P4mm
Uncorrected energy in eV/atom: -3.224
Total magnetic moment in Bohr magnetons per cell: 0.00

```
Li2CuAu
1.0
3.218 0.000 0.000
0.000 3.218 0.000
0.000 0.000 5.497
Li Au Cu
2 1 1
Direct
0.500 0.500 0.264
0.000 0.000 0.986
0.000 0.000 0.504
0.500 0.500 0.746
```



(8)
YWBr4 | PBEsol | relaxed

Results
Mass density in Mg/m³: 6.3
SG: F-43m
Uncorrected energy in eV/atom: -3.729
Total magnetic moment in Bohr magnetons per cell: 4.49
ΔE_f (raw) in meV/atom: 956

```
YWBr4
1.0
-3.917 -3.328 3.157
-1.313 -5.611 -1.782
1.952 -4.718 3.210
Y Br W
1 4 1
Direct
0.000 0.000 0.000
0.375 0.875 0.375
0.375 0.375 0.375
0.875 0.375 0.375
0.375 0.375 0.875
0.750 0.750 0.750
```



(9)
ScTaIr2 | PBEsol | relaxed

Results
DFT formation energy in meV/atom: -717
Mass density in Mg/m³: 15.9
SG: Cmmm
Uncorrected energy in eV/atom: -10.418
Total magnetic moment in Bohr magnetons per cell: 0.00

```
ScTaIr2
1.0
-2.222 0.149 1.923
-3.075 -0.274 -3.532
0.520 -4.564 0.953
Ta Ir Sc
1 2 1
Direct
0.500 0.500 0.500
0.000 0.000 0.500
0.000 0.500 0.000
0.500 0.000 0.000
```



(10)
KIn2Pt | PBEsol | relaxed

Results
DFT formation energy in meV/atom: -284
Mass density in Mg/m³: 6.8
SG: R3m
Uncorrected energy in eV/atom: -3.800
Total magnetic moment in Bohr magnetons per cell: 0.00

```
KIn2Pt
1.0
-3.405 -0.940 -2.964
-0.914 -4.369 -1.152
-5.431 -2.179 3.343
In Pt K
2 1 1
Direct
0.704 0.703 0.889
0.965 0.965 0.106
0.326 0.326 0.021
0.505 0.505 0.484
```



(11)
PmSn3 | PBEsol | relaxed

Results
DFT formation energy in meV/atom: -552
Mass density in Mg/m³: 8.2
SG: Pm-3m
Uncorrected energy in eV/atom: -5.031
Total magnetic moment in Bohr magnetons per cell: 0.00

```
PmSn3
1.0
-1.346 -4.333 1.112
3.451 -1.744 -2.621
2.847 0.066 3.704
Sn Pm
3 1
Direct
0.500 0.500 0.000
0.000 0.500 0.500
0.500 0.000 0.500
0.000 0.000 0.000
```



(12)
MgZr2Br | PBEsol | relaxed

Results
Mass density in Mg/m³: 5.4
SG: F-43m
Energy relative to the lowest polymorph listed for this composition in meV/atom: 536
Uncorrected energy in eV/atom: -4.999
Total magnetic moment in Bohr magnetons per cell: 2.44
ΔE_f (raw) in meV/atom: 443

```
MgZr2Br
1.0
-1.639 -4.514 -1.363
0.811 -1.654 -4.640
3.254 -3.701 -0.798
Zr Br Mg
2 1 1
Direct
0.750 0.750 0.750
0.000 0.000 0.000
0.500 0.500 0.500
0.250 0.250 0.250
```